[1]
VASP calculation (meta-GGA SCAN) on a crystal of ZrTc2 relaxed with PBEsol.

Summary:
Energy relative to the lowest polymorph listed for this composition   0 kJ/mol of formula units
Fermi-level density of states   1.115 states/eV per atom

```
ZrTc2
1.0
5.170 0.000 0.000
-2.585 4.477 0.000
0.000 0.000 17.192
Tc Zr
16 8
direct
0.333 0.667 0.873 Tc
0.667 0.333 0.127 Tc
0.667 0.333 0.373 Tc
0.333 0.667 0.627 Tc
0.000 0.500 0.000 Tc
0.500 0.000 0.000 Tc
0.500 0.500 0.000 Tc
0.000 0.500 0.500 Tc
0.500 0.000 0.500 Tc
0.500 0.500 0.500 Tc
0.677 0.839 0.750 Tc
0.161 0.323 0.750 Tc
0.161 0.839 0.750 Tc
0.323 0.161 0.250 Tc
0.839 0.677 0.250 Tc
0.839 0.161 0.250 Tc
0.000 0.000 0.907 Zr
0.000 0.000 0.093 Zr
0.000 0.000 0.407 Zr
0.000 0.000 0.593 Zr
0.333 0.667 0.156 Zr
0.667 0.333 0.844 Zr
0.667 0.333 0.656 Zr
0.333 0.667 0.344 Zr
```

***

[2]
VASP calculation (meta-GGA SCAN) on a crystal of TiTcIr3 relaxed with PBEsol.

Summary:
Uncorrected energy   -51.463 eV per atom
Fermi-level density of states   1.133 states/eV per atom

```
TiTcIr3
1.0
4.609 0.000 0.000
0.000 4.609 0.000
0.000 0.000 4.609
Ir Tc Ti
3 1 1
direct
0.000 0.500 0.000 Ir
0.000 0.000 0.500 Ir
0.500 0.000 0.000 Ir
0.000 0.000 0.000 Tc
0.500 0.500 0.500 Ti
```

***

[3]
VASP calculation (meta-GGA SCAN) on a crystal of CaLaBr2 relaxed with PBEsol.

Summary:
Energy relative to the lowest polymorph listed for this composition   0 kJ/mol of formula units
ΔE_f (raw)   -1.3920 eV/atom
Fermi-level density of states   0.685 states/eV per atom

```
CaLaBr2
1.0
-0.363 -2.456 2.852
2.801 -0.415 2.505
-2.719 5.363 6.780
Ca Br La
1 2 1
direct
0.500 0.500 0.500 Ca
0.250 0.250 0.251 Br
0.750 0.750 0.749 Br
0.000 0.000 0.000 La
```

***

[4]
VASP calculation (meta-GGA SCAN) on a crystal of CaReBr2 relaxed with PBEsol.

Summary:
Energy relative to the lowest polymorph listed for this composition   99 kJ/mol of formula units
ΔE_f (raw)   0.2191 eV/atom
Fermi-level density of states   0.117 states/eV per atom

```
CaReBr2
1.0
3.840 0.000 0.000
1.920 3.326 0.000
1.920 1.109 9.425
Re Ca Br
1 1 2
direct
0.000 0.000 0.000 Re
0.500 0.500 0.500 Ca
0.228 0.228 0.315 Br
0.772 0.772 0.685 Br
```

***

[5]
VASP calculation (meta-GGA SCAN) on a crystal of SbPb2Se relaxed with PBEsol.

Summary:
Energy relative to the lowest polymorph listed for this composition   31 kJ/mol of formula units
ΔE_f (raw)   -0.1568 eV/atom
Fermi-level density of states   0.758 states/eV per atom

```
SbPb2Se
1.0
4.243 0.000 0.000
2.122 3.675 0.000
2.122 1.225 7.517
Pb Sb Se
2 1 1
direct
0.253 0.253 0.241 Pb
0.747 0.747 0.759 Pb
0.500 0.500 0.500 Sb
0.000 0.000 0.000 Se
```

***

[6]
VASP calculation (meta-GGA SCAN) on a crystal of ZnPtSeBr2 relaxed with PBEsol.

Summary:
ΔE_f (raw)   0.2608 eV/atom
Fermi-level density of states   0.612 states/eV per atom

```
ZnPtSeBr2
1.0
4.849 0.000 0.000
0.000 5.092 0.000
0.000 0.000 5.092
Zn Se Br Pt
1 1 2 1
direct
0.500 0.500 0.500 Zn
0.500 0.000 0.000 Se
0.000 0.000 0.500 Br
0.000 0.500 0.000 Br
0.000 0.000 0.000 Pt
```